(1)
This record from Alexandria via LeMat-Bulk describes an optimized crystal structure of KSrBi2. The functional is PBE-GGA.

Lattice parameters (Å, degrees): 4.5140 4.5140 7.7572 90.00 90.00 90.00
Element x y z (fractional)
Bi (0.0000, 0.0000, 0.8041)
Bi (0.0000, 0.0000, 0.1959)
Sr (0.5000, 0.5000, 0.0000)
K (0.5000, 0.5000, 0.5000)

* relative energy among the computed polymorphs: 0.0000 eV/atom
* VASP energy: -3.206 eV/atom
* spin magnetization: 0.000 μB/atom
* formation energy: -570 meV/atom
* space group: P4/mmm
* calculated volume: 39.52 Å³/atom

(2)
This record from Alexandria via LeMat-Bulk describes an optimized crystal structure of K2SrBi. The functional is PBE-GGA.

Lattice parameters (Å, degrees): 3.9993 3.9993 14.8038 82.24 82.24 60.00
Element x y z (fractional)
Bi (0.0000, 0.0000, 0.0000)
Sr (0.5000, 0.5000, 0.5000)
K (0.9219, 0.9219, 0.2343)
K (0.0781, 0.0781, 0.7657)

* VASP energy: -1.773 eV/atom
* spin magnetization: 0.000 μB/atom
* formation energy: 166 meV/atom
* space group: R-3m
* calculated volume: 50.64 Å³/atom

(3)
This record from Alexandria via LeMat-Bulk describes an optimized crystal structure of KSr2Bi2. The functional is PBE-GGA.

Lattice parameters (Å, degrees): 9.9282 9.9282 4.0108 90.00 90.00 90.00
Element x y z (fractional)
Sr (0.1359, 0.6359, 0.5000)
Bi (0.6621, 0.1621, 0.0000)
K (0.5000, 0.5000, 0.0000)
Sr (0.8641, 0.3641, 0.5000)
Bi (0.1621, 0.3379, 0.0000)
Bi (0.3379, 0.8379, 0.0000)
Sr (0.6359, 0.8641, 0.5000)
K (0.0000, 0.0000, 0.0000)
Bi (0.8379, 0.6621, 0.0000)
Sr (0.3641, 0.1359, 0.5000)

* relative energy among the computed polymorphs: 0.0000 eV/atom
* VASP energy: -3.156 eV/atom
* spin magnetization: 0.000 μB/atom
* formation energy: -711 meV/atom
* space group: P4/mbm
* calculated volume: 39.53 Å³/atom

(4)
This record from Alexandria via LeMat-Bulk describes an optimized crystal structure of K2SrBi. The functional is PBE-GGA.

Lattice parameters (Å, degrees): 5.1275 5.1275 14.1974 79.60 79.60 90.00
Element x y z (fractional)
Bi (0.7500, 0.2500, 0.5000)
Sr (0.2500, 0.7500, 0.5000)
K (0.0931, 0.6250, 0.2500)
K (0.6569, 0.1250, 0.2500)
K (0.3750, 0.3431, 0.7500)
Bi (0.0000, 0.0000, 0.0000)
Sr (0.5000, 0.5000, 0.0000)
K (0.8750, 0.9069, 0.7500)

* VASP energy: -2.140 eV/atom
* spin magnetization: 0.126 μB/atom
* formation energy: -200 meV/atom
* space group: I-42d
* calculated volume: 45.11 Å³/atom